Entry a
{
  "formula": "YPCO2",
  "functional": "PBE",
  "state": "optimized geometry",
  "lattice": [[4.1477, 0.0000, 0.0000], [0.0000, 4.1477, 0.0000], [0.0000, 0.0000, 6.2166]],
  "species": ["Y", "P", "C", "O", "O"],
  "fractional_positions": [[0.0000, 0.0000, 0.0000], [0.0000, 0.0000, 0.5000], [0.5000, 0.5000, 0.5000], [0.0000, 0.5000, 0.0000], [0.5000, 0.0000, 0.0000]],
  "spacegroup": "P4/mmm, No. 123",
  "magmom_total_mub_per_fu": 1.64,
  "volume_a3_per_atom": 21.389
}

Entry b
{
  "formula": "YPCO2",
  "functional": "PBE",
  "state": "optimized geometry",
  "lattice": [[4.0525, 0.0000, 0.0000], [0.0000, 4.0525, 0.0000], [0.0000, 0.0000, 3.6119]],
  "species": ["Y", "P", "C", "O", "O"],
  "fractional_positions": [[0.0000, 0.0000, 0.0000], [0.5000, 0.5000, 0.0000], [0.5000, 0.5000, 0.5000], [0.0000, 0.5000, 0.5000], [0.5000, 0.0000, 0.5000]],
  "spacegroup": "P4/mmm, No. 123",
  "magmom_total_mub_per_fu": 0.00,
  "volume_a3_per_atom": 11.864
}

The structure shown above that is least stable: entry a.